PaMnAl2O8 (PBE+U, relaxed); symmetry = P-3m1; E_tot = -89.391 eV per cell
1.0
5.637 0.000 0.000
-2.819 4.882 0.000
0.000 0.000 5.589
Pa Mn Al O
1 1 2 8
direct
0.000 0.000 0.000
0.000 0.000 0.500
0.333 0.667 0.385
0.667 0.333 0.615
0.160 0.320 0.279
0.160 0.840 0.279
0.320 0.160 0.721
0.333 0.667 0.704
0.667 0.333 0.296
0.680 0.840 0.279
0.840 0.160 0.721
0.840 0.680 0.721